[1]
# PBE TmAgBr, optimized geometry
# DFT total energy = -42.88 eV per cell
data_TmAgBr
_chemical_formula_sum 'Tm4 Ag4 Br4'
_cell_length_a 14.8136
_cell_length_b 3.6410
_cell_length_c 6.3063
_cell_angle_alpha 90.00
_cell_angle_beta 90.00
_cell_angle_gamma 90.00
_symmetry_space_group_name_H-M 'A m m 2'
_symmetry_Int_Tables_number 38
_symmetry_space_group_name_Hall 'A 2 -2'
loop_
_atom_site_label
_atom_site_fract_x
_atom_site_fract_y
_atom_site_fract_z
Tm1 0.1425 0.0000 0.0000
Ag1 0.0000 0.0000 0.3335
Ag2 0.5000 0.0000 0.3246
Br1 0.2763 0.0000 0.3332

=====

[2]
# PBE HfZrIrRu2, optimized geometry
# formation enthalpy at 0 K = 1058 meV/atom
data_HfZrIrRu2
_chemical_formula_sum 'Hf1 Zr1 Ir1 Ru2'
_cell_length_a 4.6918
_cell_length_b 4.6918
_cell_length_c 4.8109
_cell_angle_alpha 90.00
_cell_angle_beta 90.00
_cell_angle_gamma 90.00
_symmetry_space_group_name_H-M 'P 4/m m m'
_symmetry_Int_Tables_number 123
_symmetry_space_group_name_Hall '-P 4 2'
loop_
_atom_site_label
_atom_site_fract_x
_atom_site_fract_y
_atom_site_fract_z
Hf1 0.0000 0.0000 0.0000
Zr1 0.5000 0.5000 0.5000
Ir1 0.5000 0.5000 0.0000
Ru1 0.0000 0.5000 0.5000

=====

V? In order: 340.1; 105.9 Å³/cell.
Fermi-level density of states? In order: 1.2; 4.0 states/eV/f.u..
Magnetization? In order: 0.000; 0.149 μB per atom.